The following is a DFT calculation (PBE) of a geometry-optimized NaAu8 structure.

Density of states at the Fermi level in states/eV/cell: 2.8
Total magnetization in μB/cell: 0.00
Uncorrected energy in eV per formula unit: -28.2
V in Å³ per cell: 163.25

abc: 6.616 6.616 6.616
angles: 95.59 95.59 143.61
Fractional positions:
Na 0.000 0.000 0.000
Au 0.000 0.333 0.333
Au 0.000 0.667 0.667
Au 0.333 0.000 0.333
Au 0.334 0.334 0.668
Au 0.334 0.666 0.000
Au 0.666 0.334 0.000
Au 0.666 0.666 0.332
Au 0.667 0.000 0.667